Model 1:
# AlMoSCl2 | Alexandria via LeMat-Bulk | PBE | relaxed
data_AlMoSCl2
_symmetry_space_group_name_H-M 'P 4/m m m'
_symmetry_Int_Tables_number 123
_symmetry_space_group_name_Hall '-P 4 2'
_cell_length_a 5.0239
_cell_length_b 5.0239
_cell_length_c 4.6280
_cell_angle_alpha 90.00
_cell_angle_beta 90.00
_cell_angle_gamma 90.00
loop_
_atom_site_label
_atom_site_type_symbol
_atom_site_fract_x
_atom_site_fract_y
_atom_site_fract_z
_atom_site_occupancy
Al1 Al 0.0000 0.0000 0.0000 1
Mo1 Mo 0.5000 0.5000 0.5000 1
S1 S 0.5000 0.5000 0.0000 1
Cl1 Cl 0.0000 0.5000 0.5000 1
# **Total magnetic moment**: 1.46 μB per formula unit

***

Model 2:
# AlMoSCl2 | Alexandria via LeMat-Bulk | PBE | relaxed
data_AlMoSCl2
_symmetry_space_group_name_H-M 'P 4/m m m'
_symmetry_Int_Tables_number 123
_symmetry_space_group_name_Hall '-P 4 2'
_cell_length_a 4.6501
_cell_length_b 4.6501
_cell_length_c 4.8763
_cell_angle_alpha 90.00
_cell_angle_beta 90.00
_cell_angle_gamma 90.00
loop_
_atom_site_label
_atom_site_type_symbol
_atom_site_fract_x
_atom_site_fract_y
_atom_site_fract_z
_atom_site_occupancy
Al1 Al 0.0000 0.0000 0.0000 1
Mo1 Mo 0.5000 0.5000 0.5000 1
S1 S 0.0000 0.0000 0.5000 1
Cl1 Cl 0.0000 0.5000 0.0000 1
# **Total magnetic moment**: 4.75 μB per formula unit

***

Which is most stable, and by how much? model 1, by 22.2 kJ/mol of atoms.

***

Model 1:
# AlN2Cl | Alexandria via LeMat-Bulk | PBE | relaxed
data_AlN2Cl
_symmetry_space_group_name_H-M 'I 41/a m d'
_symmetry_Int_Tables_number 141
_cell_length_a 4.4909
_cell_length_b 4.4909
_cell_length_c 11.8659
_cell_angle_alpha 90.00
_cell_angle_beta 90.00
_cell_angle_gamma 90.00
loop_
_symmetry_equiv_pos_as_xyz
'x,y,z'
'-x,-y,-z'
'-y+1/4,x+3/4,z+1/4'
'y+1/4,-x+3/4,-z+1/4'
'-x+1/2,-y,z+1/2'
'x+1/2,y,-z+1/2'
'y+1/4,-x+1/4,z+3/4'
'-y+1/4,x+1/4,-z+3/4'
'x,-y,-z'
'-x,y,z'
'-y+1/4,-x+1/4,-z+3/4'
'y+1/4,x+1/4,z+3/4'
'-x+1/2,y,-z+1/2'
'x+1/2,-y,z+1/2'
'y+1/4,x+3/4,-z+1/4'
'-y+1/4,-x+3/4,z+1/4'
'x+1/2,y+1/2,z+1/2'
'-x+1/2,-y+1/2,-z+1/2'
'-y+3/4,x+1/4,z+3/4'
'y+3/4,-x+1/4,-z+3/4'
'-x,-y+1/2,z'
'x,y+1/2,-z'
'y+3/4,-x+3/4,z+1/4'
'-y+3/4,x+3/4,-z+1/4'
'x+1/2,-y+1/2,-z+1/2'
'-x+1/2,y+1/2,z+1/2'
'-y+3/4,-x+3/4,-z+1/4'
'y+3/4,x+3/4,z+1/4'
'-x,y+1/2,-z'
'x,-y+1/2,z'
'y+3/4,x+1/4,-z+3/4'
'-y+3/4,-x+1/4,z+3/4'
loop_
_atom_site_label
_atom_site_type_symbol
_atom_site_fract_x
_atom_site_fract_y
_atom_site_fract_z
_atom_site_occupancy
Al1 Al 0.0000 0.2500 0.3750 1
N1 N 0.0000 0.0000 0.5000 1
Cl1 Cl 0.0000 0.2500 0.8750 1
# **Total magnetic moment**: 1.93 μB per formula unit

***

Model 2:
# AlN2Cl | Alexandria via LeMat-Bulk | PBE | relaxed
data_AlN2Cl
_symmetry_space_group_name_H-M 'R -3 m'
_symmetry_Int_Tables_number 166
_symmetry_space_group_name_Hall '-R 3 2"'
_cell_length_a 3.1495
_cell_length_b 3.1495
_cell_length_c 18.0664
_cell_angle_alpha 90.00
_cell_angle_beta 90.00
_cell_angle_gamma 120.00
loop_
_atom_site_label
_atom_site_type_symbol
_atom_site_fract_x
_atom_site_fract_y
_atom_site_fract_z
_atom_site_occupancy
Al1 Al 0.0000 0.0000 0.0000 1
N1 N 0.0000 0.0000 0.1044 1
Cl1 Cl 0.0000 0.0000 0.5000 1
# **Total magnetic moment**: 0.00 μB per formula unit

***

Model 3:
# AlN2Cl | Alexandria via LeMat-Bulk | PBE | relaxed
data_AlN2Cl
_symmetry_space_group_name_H-M 'R -3 m'
_symmetry_Int_Tables_number 166
_symmetry_space_group_name_Hall '-R 3 2"'
_cell_length_a 3.0815
_cell_length_b 3.0815
_cell_length_c 16.9718
_cell_angle_alpha 90.00
_cell_angle_beta 90.00
_cell_angle_gamma 120.00
loop_
_atom_site_label
_atom_site_type_symbol
_atom_site_fract_x
_atom_site_fract_y
_atom_site_fract_z
_atom_site_occupancy
Al1 Al 0.0000 0.0000 0.0000 1
N1 N 0.0000 0.0000 0.3902 1
Cl1 Cl 0.0000 0.0000 0.5000 1
# **Total magnetic moment**: 0.00 μB per formula unit

***

Which is most stable, and by how much? model 3, by 44.1 kJ/mol of atoms.

***

Model 1:
# AlNCl2 | Alexandria via LeMat-Bulk | PBE | relaxed
data_AlNCl2
_symmetry_space_group_name_H-M 'I -4 2 d'
_symmetry_Int_Tables_number 122
_symmetry_space_group_name_Hall 'I -4 2bw'
_cell_length_a 9.0585
_cell_length_b 9.0585
_cell_length_c 3.7817
_cell_angle_alpha 90.00
_cell_angle_beta 90.00
_cell_angle_gamma 90.00
loop_
_atom_site_label
_atom_site_type_symbol
_atom_site_fract_x
_atom_site_fract_y
_atom_site_fract_z
_atom_site_occupancy
Al1 Al 0.0000 0.0000 0.0000 1
N1 N 0.0000 0.0000 0.5000 1
Cl1 Cl 0.0832 0.2500 0.1250 1
# **Total magnetic moment**: 2.00 μB per formula unit

***

Model 2:
# AlNCl2 | Alexandria via LeMat-Bulk | PBE | relaxed
data_AlNCl2
_symmetry_space_group_name_H-M 'R -3 m'
_symmetry_Int_Tables_number 166
_symmetry_space_group_name_Hall '-R 3 2"'
_cell_length_a 3.7622
_cell_length_b 3.7622
_cell_length_c 27.8611
_cell_angle_alpha 90.00
_cell_angle_beta 90.00
_cell_angle_gamma 120.00
loop_
_atom_site_label
_atom_site_type_symbol
_atom_site_fract_x
_atom_site_fract_y
_atom_site_fract_z
_atom_site_occupancy
Al1 Al 0.0000 0.0000 0.0000 1
N1 N 0.0000 0.0000 0.5000 1
Cl1 Cl 0.0000 0.0000 0.3831 1
# **Total magnetic moment**: 2.12 μB per formula unit

***

Which is most stable, and by how much? model 1, by 94.2 kJ/mol of atoms.